(1)
{
  "formula": "K2TlTc",
  "functional": "PBE-GGA",
  "state": "optimized geometry",
  "cell": [[9.576, 0.000, 0.000], [0.000, 3.342, 0.000], [-0.726, 0.000, 9.472]],
  "species": ["K", "K", "K", "K", "Tl", "Tl", "Tc", "Tc"],
  "fractional_positions": [[0.000, 0.000, 0.000], [0.219, 0.000, 0.591], [0.500, 0.500, 0.000], [0.719, 0.500, 0.591], [0.246, 0.500, 0.254], [0.746, 0.000, 0.254], [0.477, 0.000, 0.331], [0.977, 0.500, 0.331]],
  "spacegroup": "No. 8",
  "relative_energy_ev_per_fu": 0.45
}

***

(2)
{
  "formula": "LaGdPdRu",
  "functional": "PBE-GGA",
  "state": "optimized geometry",
  "cell": [[7.105, 0.000, 0.000], [0.000, 7.105, 0.000], [0.000, 0.000, 7.105]],
  "species": ["La", "La", "La", "La", "Gd", "Gd", "Gd", "Gd", "Pd", "Pd", "Pd", "Pd", "Ru", "Ru", "Ru", "Ru"],
  "fractional_positions": [[0.000, 0.000, 0.000], [0.000, 0.500, 0.500], [0.500, 0.000, 0.500], [0.500, 0.500, 0.000], [0.000, 0.000, 0.500], [0.000, 0.500, 0.000], [0.500, 0.000, 0.000], [0.500, 0.500, 0.500], [0.250, 0.250, 0.750], [0.250, 0.750, 0.250], [0.750, 0.250, 0.250], [0.750, 0.750, 0.750], [0.250, 0.250, 0.250], [0.250, 0.750, 0.750], [0.750, 0.250, 0.750], [0.750, 0.750, 0.250]],
  "spacegroup": "No. 216"
}

***

(3)
{
  "formula": "In3TcOs",
  "functional": "PBE-GGA",
  "state": "optimized geometry",
  "cell": [[5.129, 0.000, 0.000], [0.000, 5.129, 0.000], [0.000, 0.000, 5.129]],
  "species": ["In", "In", "In", "Tc", "Os"],
  "fractional_positions": [[0.000, 0.000, 0.500], [0.000, 0.500, 0.000], [0.500, 0.000, 0.000], [0.500, 0.500, 0.500], [0.000, 0.000, 0.000]],
  "spacegroup": "No. 221",
  "relative_energy_ev_per_fu": 0.00
}

***

Number 1: ΔH_f (0 K) 0.782 eV/atom, energy -2.95 eV per atom. Number 2: ΔH_f (0 K) -0.490 eV/atom, energy -8.86 eV per atom. Number 3: ΔH_f (0 K) 1.092 eV/atom, energy -4.87 eV per atom.